1.
DFT (PBE) results for Sc3TaSn after structural relaxation.

Cell: 5.1040 5.1040 5.1040 Å, 90.00 90.00 90.00°
Sites, in units of the cell vectors:
Sn  0.5000  0.5000  0.5000
Sc  0.0000  0.0000  0.5000
Sc  0.0000  0.5000  0.0000
Sc  0.5000  0.0000  0.0000
Ta  0.0000  0.0000  0.0000

Calculated values
The total energy comes out at -32.07 eV for the cell shown. The density of states at the Fermi level comes out at 0.92 states/eV/atom. Its excess energy over the best structure of this formula in the dataset is 0.000 eV per atom.

2.
DFT (PBE) results for Sc2TaSn2 after structural relaxation.

Cell: 3.9876 3.9876 8.2056 Å, 75.94 75.94 90.00°
Site moments in Bohr magnetons follow the coordinates.
Sites, in units of the cell vectors:
Sn  0.2500  0.7500  0.5000  -0.01
Sn  0.7500  0.2500  0.5000  -0.01
Ta  0.0000  0.0000  0.0000  0.53
Sc  0.5937  0.5937  0.8126  0.06
Sc  0.4063  0.4063  0.1874  0.06

Calculated values
The total energy comes out at -30.52 eV for the cell shown. The density of states at the Fermi level comes out at 1.23 states/eV/atom. Its excess energy over the best structure of this formula in the dataset is 0.695 eV per atom.

3.
DFT (PBE) results for Sc3TaSn after structural relaxation.

Cell: 5.2466 5.2466 5.2466 Å, 90.00 90.00 90.00°
Site moments in Bohr magnetons follow the coordinates.
Sites, in units of the cell vectors:
Sc  0.5000  0.0000  0.0000  0.19
Sc  0.0000  0.5000  0.0000  0.21
Sc  0.0000  0.0000  0.5000  0.25
Sn  0.0000  0.0000  0.0000  0.05
Ta  0.5000  0.5000  0.5000  1.48

Calculated values
The total energy comes out at -29.94 eV for the cell shown. The density of states at the Fermi level comes out at 1.03 states/eV/atom. Its excess energy over the best structure of this formula in the dataset is 0.426 eV per atom.

4.
DFT (PBE) results for Sc2TaSn after structural relaxation.

Cell: 7.8722 7.8722 6.2849 Å, 51.22 51.22 90.00°
Sites, in units of the cell vectors:
Sn  0.5000  0.5000  0.0000
Sn  0.2500  0.7500  0.5000
Sc  0.1204  0.6250  0.2500
Sc  0.3750  0.3704  0.7500
Sc  0.6296  0.1250  0.2500
Sc  0.8750  0.8796  0.7500
Ta  0.7500  0.2500  0.5000
Ta  0.0000  0.0000  0.0000

Calculated values
The total energy comes out at -54.21 eV for the cell shown. The density of states at the Fermi level comes out at 0.76 states/eV/atom.

5.
DFT (PBE) results for ScTaSn2 after structural relaxation.

Cell: 4.9302 4.9302 4.9302 Å, 60.00 60.00 60.00°
Sites, in units of the cell vectors:
Ta  0.5000  0.5000  0.5000
Sn  0.2500  0.2500  0.2500
Sn  0.7500  0.7500  0.7500
Sc  0.0000  0.0000  0.0000

Calculated values
The total energy comes out at -26.17 eV for the cell shown. The density of states at the Fermi level comes out at 1.70 states/eV/atom. Its excess energy over the best structure of this formula in the dataset is 0.000 eV per atom.

6.
DFT (PBE) results for ScTaSn2 after structural relaxation.

Cell: 7.7702 7.7702 6.2960 Å, 51.90 51.90 90.00°
Sites, in units of the cell vectors:
Ta  0.0000  0.0000  0.0000
Ta  0.7500  0.2500  0.5000
Sc  0.2500  0.7500  0.5000
Sc  0.5000  0.5000  0.0000
Sn  0.8750  0.8848  0.7500
Sn  0.1152  0.6250  0.2500
Sn  0.6348  0.1250  0.2500
Sn  0.3750  0.3652  0.7500

Calculated values
The total energy comes out at -51.50 eV for the cell shown. The density of states at the Fermi level comes out at 0.12 states/eV/atom. Its excess energy over the best structure of this formula in the dataset is 0.105 eV per atom.

7.
DFT (PBE) results for ScTaSn2 after structural relaxation.

Cell: 3.1503 3.1503 10.9946 Å, 81.76 81.76 60.00°
Sites, in units of the cell vectors:
Sc  0.5000  0.5000  0.5000
Ta  0.0000  0.0000  0.0000
Sn  0.9119  0.9119  0.2643
Sn  0.0881  0.0881  0.7357

Calculated values
The total energy comes out at -25.03 eV for the cell shown. The density of states at the Fermi level comes out at 1.65 states/eV/atom. Its excess energy over the best structure of this formula in the dataset is 0.285 eV per atom.

8.
DFT (PBE) results for ScTa2SnW after structural relaxation.

Cell: 4.9921 4.9086 4.9921 Å, 90.00 90.00 90.00°
Sites, in units of the cell vectors:
Sc  0.0000  0.5000  0.0000
Ta  0.5000  0.0000  0.0000
Ta  0.0000  0.0000  0.5000
Sn  0.0000  0.0000  0.0000
W  0.5000  0.5000  0.5000

Calculated values
The total energy comes out at -36.96 eV for the cell shown. The density of states at the Fermi level comes out at 1.15 states/eV/atom.